A plane-wave DFT calculation with PBE was carried out for BeTlBr2 after structural relaxation.

## Properties
The calculation puts the energy relative to the lowest polymorph listed for this composition at 103 meV/atom. As for the space-group type: Cm, No. 8. The formation energy from raw total energies is -0.3703 eV per atom. The calculation puts the theoretical density at 5.1 g/cm3. The magnetic moment comes out at 0.00 μB/cell.

The structure in extended XYZ format:
```
4
Lattice="6.295 -1.693 0.000 6.295 1.693 0.000 -2.397 0.000 5.711" Properties=species:S:1:pos:R:3 pbc="T T T"
Be 0.000 0.000 0.000
Tl 2.529 0.000 3.518
Br 5.090 0.000 1.119
Br 5.432 0.000 5.216
```